Compound: CoPt2IO
Source: Alexandria via LeMat-Bulk
Functional: PBE with a Hubbard U
Structure: relaxed

The magnetic moment comes out at 2.13 μB/cell. Its energy is -4.224 eV per atom.

The structure belongs to space group P4/mmm (No. 123); the cell edges are 3.969, 3.969 and 7.022 Å and the angles 90.00°, 90.00° and 90.00°. The distinct sites, in fractional coordinates, are Co at (0.000, 0.000, 0.000), Pt at (0.000, 0.500, 0.500), I at (0.500, 0.500, 0.000) and O at (0.500, 0.500, 0.500).